Record 1
# Cs2RbCd2Sb2, relaxed, DFT PBE
# Size of the total moment ... 0.4 μB/cell
# Uncorrected formation energy ... -341 meV per atom
# Uncorrected energy ... -2.162 eV per atom
data_Cs2RbCd2Sb2
_chemical_formula_sum 'Cs6 Rb3 Cd6 Sb6'
_symmetry_space_group_name_H-M 'R -3 m'
_symmetry_Int_Tables_number 166
_symmetry_space_group_name_Hall '-R 3 2"'
_cell_length_a 4.9561
_cell_length_b 4.9561
_cell_length_c 48.8150
_cell_angle_alpha 90.00
_cell_angle_beta 90.00
_cell_angle_gamma 120.00
loop_
_atom_site_label
_atom_site_fract_x
_atom_site_fract_y
_atom_site_fract_z
_atom_site_occupancy
Cs1 0.0000 0.0000 0.1168 1
Rb1 0.0000 0.0000 0.0000 1
Cd1 0.0000 0.0000 0.3893 1
Sb1 0.0000 0.0000 0.2756 1

Record 2
# Cs2RbCdSb, relaxed, DFT PBE
# Polymorph energy (0 for the lowest one) ... 0 meV per atom
# Size of the total moment ... 0.0 μB/cell
# Uncorrected formation energy ... -96 meV per atom
# Uncorrected energy ... -1.639 eV per atom
data_Cs2RbCdSb
_chemical_formula_sum 'Cs2 Rb1 Cd1 Sb1'
_symmetry_space_group_name_H-M 'P 4/m m m'
_symmetry_Int_Tables_number 123
_symmetry_space_group_name_Hall '-P 4 2'
_cell_length_a 7.720
_cell_length_b 7.720
_cell_length_c 5.734
_cell_angle_alpha 90.00
_cell_angle_beta 90.00
_cell_angle_gamma 90.00
loop_
_atom_site_label
_atom_site_fract_x
_atom_site_fract_y
_atom_site_fract_z
_atom_site_occupancy
Cs1 0.000 0.500 0.000 1
Rb1 0.000 0.000 0.500 1
Cd1 0.500 0.500 0.500 1
Sb1 0.500 0.500 0.000 1